(1)
Compound: AlIrCl6
Source: OQMD
Functional: GGA-PBE
Structure: relaxed

Output
Total energy (eV/atom): -3.9600
Crystal system: monoclinic

a = 6.0223 Å, b = 6.0223 Å, c = 6.3089 Å
α = 99.11°, β = 99.11°, γ = 119.95°
Fractional coordinates of all 8 atoms:
Al  0.1667  0.8333  0.0000
Cl  0.9300  0.5756  0.2209
Cl  0.5709  0.9279  0.2210
Cl  0.2183  0.2158  0.2221
Cl  0.7842  0.7817  0.7779
Cl  0.0721  0.4291  0.7790
Cl  0.4244  0.0700  0.7791
Ir  0.8334  0.1666  0.0000

=====

(2)
Compound: GdI2
Source: OQMD
Functional: GGA-PBE
Structure: relaxed

Output
Total energy (eV/atom): -2.2717
Crystal system: cubic

a = 6.8051 Å, b = 6.8051 Å, c = 6.8051 Å
α = 60.00°, β = 60.00°, γ = 60.00°
Site moments in Bohr magnetons follow the coordinates.
Fractional coordinates of all 6 atoms:
Gd  0.0000  0.0000  0.0000  0.72
Gd  0.2500  0.2500  0.2500  0.72
I  0.6250  0.6250  0.1250  0.12
I  0.6250  0.1250  0.6250  0.06
I  0.1250  0.6250  0.6250  0.01
I  0.6250  0.6250  0.6250  0.10

=====

(3)
Compound: LiCu2Pb
Source: OQMD
Functional: GGA-PBE
Structure: relaxed

Output
Total energy (eV/atom): -3.1917
Crystal system: cubic

a = 6.3381 Å, b = 6.3381 Å, c = 6.3381 Å
α = 90.00°, β = 90.00°, γ = 90.00°
Fractional coordinates of all 16 atoms:
Cu  0.2848  0.2848  0.2848
Cu  0.7152  0.2848  0.2848
Cu  0.2848  0.7152  0.2848
Cu  0.7152  0.7152  0.2848
Cu  0.2848  0.2848  0.7152
Cu  0.7152  0.2848  0.7152
Cu  0.2848  0.7152  0.7152
Cu  0.7152  0.7152  0.7152
Li  0.5000  0.5000  0.0000
Li  0.5000  0.0000  0.5000
Li  0.0000  0.5000  0.5000
Li  0.5000  0.5000  0.5000
Pb  0.0000  0.0000  0.0000
Pb  0.5000  0.0000  0.0000
Pb  0.0000  0.5000  0.0000
Pb  0.0000  0.0000  0.5000

=====

(4)
Compound: Tb2Pt8N
Source: OQMD
Functional: GGA-PBE
Structure: relaxed

Output
Total energy (eV/atom): -6.5663
Crystal system: orthorhombic

a = 4.3783 Å, b = 8.5654 Å, c = 8.5654 Å
α = 143.12°, β = 90.00°, γ = 90.00°
Fractional coordinates of all 11 atoms:
N  0.0000  0.2460  0.2460
Pt  0.0000  0.9283  0.1283
Pt  0.5000  0.8047  0.1978
Pt  0.0000  0.9861  0.5005
Pt  0.0000  0.6031  0.6031
Pt  0.5000  0.1978  0.8047
Pt  0.5000  0.9222  0.9222
Pt  0.0000  0.1283  0.9283
Pt  0.0000  0.5005  0.9861
Tb  0.5000  0.6228  0.3741
Tb  0.5000  0.3741  0.6228

=====

(5)
Compound: LaSmSi3Au
Source: OQMD
Functional: GGA-PBE
Structure: relaxed

Output
Crystal system: orthorhombic
Energy relative to the lowest polymorph listed for this composition (meV/atom): 0.0

a = 8.4065 Å, b = 8.3019 Å, c = 6.0177 Å
α = 69.82°, β = 67.96°, γ = 42.21°
Fractional coordinates of all 12 atoms:
Au  0.6675  0.6675  0.3325
Au  0.3325  0.3325  0.6675
La  0.2431  0.7569  0.2431
La  0.7569  0.2431  0.7569
Si  0.8366  0.3287  0.1634
Si  0.8352  0.8352  0.1648
Si  0.6713  0.1634  0.3287
Si  0.3287  0.8366  0.6713
Si  0.1648  0.1648  0.8352
Si  0.1634  0.6713  0.8366
Sm  0.2500  0.2500  0.2500
Sm  0.7500  0.7500  0.7500

=====

(6)
Compound: Nd3Si4Pd2Pt2
Source: OQMD
Functional: GGA-PBE
Structure: relaxed

Output
Total energy (eV/atom): -6.3111
Crystal system: orthorhombic

a = 12.7357 Å, b = 12.7357 Å, c = 12.7357 Å
α = 161.33°, β = 160.80°, γ = 26.91°
Fractional coordinates of all 11 atoms:
Nd  0.1464  0.1464  0.0000
Nd  0.8536  0.8536  0.0000
Nd  0.5000  0.0000  0.5000
Pd  0.4029  0.4029  0.0000
Pd  0.5971  0.5971  0.0000
Pt  0.7475  0.2475  0.5000
Pt  0.2525  0.7525  0.5000
Si  0.3049  0.3049  0.0000
Si  0.6951  0.6951  0.0000
Si  0.9518  0.4518  0.5000
Si  0.0482  0.5482  0.5000